Crystalline Sm2AlOs2 at its relaxed geometry, computed with GGA-PBE.

Output
- total magnetization (μB/f.u.) = 0.00
- DFT total energy (eV/atom) = -7.434
- symmetry = C2/c

Cell: 5.6687 5.6687 7.9794 Å, 102.19 102.19 60.37°
Closest atoms and distances in Å follow each position.
Fractional coordinates of all 10 atoms:
Sm 0.0027 0.2913 0.1463  6 Os 3.00-3.16, 1 Al 3.21
Sm 0.2913 0.0027 0.6463  6 Os 3.00-3.16, 1 Al 3.21
Sm 0.7087 0.9973 0.3537  6 Os 3.00-3.16, 1 Al 3.21
Sm 0.9973 0.7087 0.8537  6 Os 3.00-3.16, 1 Al 3.21
Al 0.3934 0.6066 0.2500  4 Os 2.62-2.64
Al 0.6066 0.3934 0.7500  4 Os 2.62-2.64
Os 0.2114 0.5072 0.4882  1 Os 2.49, 2 Al 2.62-2.64
Os 0.4928 0.7886 0.0118  1 Os 2.49, 2 Al 2.62-2.64
Os 0.5072 0.2114 0.9882  1 Os 2.49, 2 Al 2.62-2.64
Os 0.7886 0.4928 0.5118  1 Os 2.49, 2 Al 2.62-2.64

---

Crystalline Sm2AlOs at its relaxed geometry, computed with GGA-PBE.

Output
- total magnetization (μB/f.u.) = 0.00
- DFT total energy (eV/atom) = -6.273
- symmetry = P4/mmm

Cell: 3.5577 3.5577 7.3109 Å, 90.00 90.00 90.00°
Closest atoms and distances in Å follow each position.
Fractional coordinates of all 4 atoms:
Sm 0.0000 0.0000 0.2295  4 Os 3.02, 4 Al 3.20, 1 Sm 3.36
Sm 0.0000 0.0000 0.7705  4 Os 3.02, 4 Al 3.20, 1 Sm 3.36
Al 0.5000 0.5000 0.5000  8 Sm 3.20, 4 Al 3.56
Os 0.5000 0.5000 0.0000  8 Sm 3.02

---

Crystalline Sm2Al5Os at its relaxed geometry, computed with GGA-PBE.

Output
- total magnetization (μB/f.u.) = 0.00
- DFT total energy (eV/atom) = -5.194
- symmetry = I4mm

Cell: 6.2098 6.2098 6.2098 Å, 119.85 119.85 90.26°
Closest atoms and distances in Å follow each position.
Fractional coordinates of all 8 atoms:
Sm 0.0000 0.5000 0.5000  10 Al 3.08-3.15
Sm 0.5000 0.0000 0.5000  10 Al 3.08-3.15
Al 0.0380 0.0380 0.5644  1 Os 2.49, 2 Al 2.71
Al 0.0380 0.4735 0.0000  1 Os 2.49, 2 Al 2.71
Al 0.4735 0.0380 0.0000  1 Os 2.49, 2 Al 2.71
Al 0.4735 0.4735 0.4356  1 Os 2.49, 2 Al 2.71
Al 0.4902 0.4902 0.0000  1 Os 2.44
Os 0.7681 0.7681 0.0000  5 Al 2.44-2.49

---

Crystalline Sm3Al3Os2 at its relaxed geometry, computed with GGA-PBE.

Output
- total magnetization (μB/f.u.) = 0.00
- DFT total energy (eV/atom) = -6.383
- symmetry = Pnma

Cell: 7.7881 15.3843 5.8914 Å, 90.00 90.00 90.00°
Closest atoms and distances in Å follow each position.
Fractional coordinates of all 32 atoms:
Sm 0.0348 0.1072 0.1037  2 Os 2.91-3.10, 5 Al 3.18-3.25
Sm 0.0348 0.3928 0.1037  2 Os 2.91-3.10, 5 Al 3.18-3.25
Sm 0.1734 0.2500 0.6270  5 Al 3.02-3.31, 4 Os 3.04-3.27
Sm 0.3266 0.7500 0.1270  5 Al 3.02-3.31, 4 Os 3.04-3.27
Sm 0.4652 0.6072 0.6037  2 Os 2.91-3.10, 5 Al 3.18-3.25
Sm 0.4652 0.8928 0.6037  2 Os 2.91-3.10, 5 Al 3.18-3.25
Sm 0.5348 0.1072 0.3963  2 Os 2.91-3.10, 5 Al 3.18-3.25
Sm 0.5348 0.3928 0.3963  2 Os 2.91-3.10, 5 Al 3.18-3.25
Sm 0.6734 0.2500 0.8730  5 Al 3.02-3.31, 4 Os 3.04-3.27
Sm 0.8266 0.7500 0.3730  5 Al 3.02-3.31, 4 Os 3.04-3.27
Sm 0.9652 0.6072 0.8963  2 Os 2.91-3.10, 5 Al 3.18-3.25
Sm 0.9652 0.8928 0.8963  2 Os 2.91-3.10, 5 Al 3.18-3.25
Al 0.1591 0.0351 0.5965  3 Os 2.53-2.55
Al 0.1591 0.4649 0.5965  3 Os 2.53-2.55
Al 0.1709 0.7500 0.6083  2 Os 2.63
Al 0.3291 0.2500 0.1083  2 Os 2.63
Al 0.3409 0.5351 0.0965  3 Os 2.53-2.55
Al 0.3409 0.9649 0.0965  3 Os 2.53-2.55
Al 0.6591 0.0351 0.9035  3 Os 2.53-2.55
Al 0.6591 0.4649 0.9035  3 Os 2.53-2.55
Al 0.6709 0.7500 0.8917  2 Os 2.63
Al 0.8291 0.2500 0.3917  2 Os 2.63
Al 0.8409 0.5351 0.4035  3 Os 2.53-2.55
Al 0.8409 0.9649 0.4035  3 Os 2.53-2.55
Os 0.1355 0.6059 0.3723  4 Al 2.53-2.63
Os 0.1355 0.8941 0.3723  4 Al 2.53-2.63
Os 0.3645 0.1059 0.8723  4 Al 2.53-2.63
Os 0.3645 0.3941 0.8723  4 Al 2.53-2.63
Os 0.6355 0.6059 0.1277  4 Al 2.53-2.63
Os 0.6355 0.8941 0.1277  4 Al 2.53-2.63
Os 0.8645 0.1059 0.6277  4 Al 2.53-2.63
Os 0.8645 0.3941 0.6277  4 Al 2.53-2.63

---

Crystalline Sm3Al12Os4 at its relaxed geometry, computed with GGA-PBE.

Output
- total magnetization (μB/f.u.) = 0.00
- DFT total energy (eV/atom) = -6.058
- symmetry = P6_3/mmc

Cell: 8.8572 8.8572 9.6814 Å, 90.00 90.00 120.00°
Closest atoms and distances in Å follow each position.
Fractional coordinates of all 38 atoms:
Sm 0.1926 0.3853 0.2500  11 Al 2.96-3.24
Sm 0.1926 0.8074 0.2500  11 Al 2.96-3.24
Sm 0.3853 0.1926 0.7500  11 Al 2.96-3.24
Sm 0.6147 0.8074 0.2500  11 Al 2.96-3.24
Sm 0.8074 0.1926 0.7500  11 Al 2.96-3.24
Sm 0.8074 0.6147 0.7500  11 Al 2.96-3.24
Al 0.0000 0.0000 0.2500  2 Os 2.42
Al 0.0000 0.0000 0.7500  2 Os 2.42
Al 0.1246 0.5623 0.7500  2 Os 2.60, 6 Al 2.77-2.84
Al 0.1636 0.3272 0.5742  3 Os 2.61-2.68, 5 Al 2.74-2.89
Al 0.1636 0.3272 0.9258  3 Os 2.61-2.68, 5 Al 2.74-2.89
Al 0.1636 0.8364 0.5742  3 Os 2.61-2.68, 5 Al 2.74-2.89
Al 0.1636 0.8364 0.9258  3 Os 2.61-2.68, 5 Al 2.74-2.89
Al 0.3272 0.1636 0.0742  3 Os 2.61-2.68, 5 Al 2.74-2.89
Al 0.3272 0.1636 0.4258  3 Os 2.61-2.68, 5 Al 2.74-2.89
Al 0.3333 0.6667 0.0154  3 Os 2.56, 3 Al 2.74
Al 0.3333 0.6667 0.4846  3 Os 2.56, 3 Al 2.74
Al 0.4377 0.5623 0.7500  2 Os 2.60, 6 Al 2.77-2.84
Al 0.4377 0.8754 0.7500  2 Os 2.60, 6 Al 2.77-2.84
Al 0.5623 0.1246 0.2500  2 Os 2.60, 6 Al 2.77-2.84
Al 0.5623 0.4377 0.2500  2 Os 2.60, 6 Al 2.77-2.84
Al 0.6667 0.3333 0.5154  3 Os 2.56, 3 Al 2.74
Al 0.6667 0.3333 0.9846  3 Os 2.56, 3 Al 2.74
Al 0.6728 0.8364 0.5742  3 Os 2.61-2.68, 5 Al 2.74-2.89
Al 0.6728 0.8364 0.9258  3 Os 2.61-2.68, 5 Al 2.74-2.89
Al 0.8364 0.1636 0.0742  3 Os 2.61-2.68, 5 Al 2.74-2.89
Al 0.8364 0.1636 0.4258  3 Os 2.61-2.68, 5 Al 2.74-2.89
Al 0.8364 0.6728 0.0742  3 Os 2.61-2.68, 5 Al 2.74-2.89
Al 0.8364 0.6728 0.4258  3 Os 2.61-2.68, 5 Al 2.74-2.89
Al 0.8754 0.4377 0.2500  2 Os 2.60, 6 Al 2.77-2.84
Os 0.0000 0.0000 0.0000  8 Al 2.42-2.61
Os 0.0000 0.0000 0.5000  8 Al 2.42-2.61
Os 0.0000 0.5000 0.0000  8 Al 2.56-2.68
Os 0.0000 0.5000 0.5000  8 Al 2.56-2.68
Os 0.5000 0.0000 0.0000  8 Al 2.56-2.68
Os 0.5000 0.0000 0.5000  8 Al 2.56-2.68
Os 0.5000 0.5000 0.0000  8 Al 2.56-2.68
Os 0.5000 0.5000 0.5000  8 Al 2.56-2.68

---

Crystalline SmAlOs at its relaxed geometry, computed with GGA-PBE.

Output
- total magnetization (μB/f.u.) = 0.00
- DFT total energy (eV/atom) = -6.955
- symmetry = Imma

Cell: 5.4173 5.4173 5.4173 Å, 119.32 117.99 92.35°
Closest atoms and distances in Å follow each position.
Fractional coordinates of all 6 atoms:
Sm 0.3661 0.1161 0.2500  6 Os 3.07-3.27, 6 Al 3.19-3.20, 4 Sm 3.29-3.39
Sm 0.6339 0.8839 0.7500  6 Os 3.07-3.27, 6 Al 3.19-3.20, 4 Sm 3.29-3.39
Al 0.0000 0.5000 0.5000  4 Os 2.71, 2 Al 2.79
Al 0.5000 0.5000 0.0000  4 Os 2.71, 2 Al 2.79
Os 0.0000 0.0000 0.5000  4 Al 2.71, 2 Os 2.74
Os 0.0000 0.5000 0.0000  4 Al 2.71, 2 Os 2.74

---

Crystalline SmAlOs at its relaxed geometry, computed with GGA-PBE.

Output
- total magnetization (μB/f.u.) = 0.00
- DFT total energy (eV/atom) = -6.555
- symmetry = Cmcm

Cell: 7.2960 7.2960 4.9950 Å, 90.00 90.00 145.04°
Closest atoms and distances in Å follow each position.
Fractional coordinates of all 6 atoms:
Sm 0.1122 0.8878 0.7500  4 Os 2.97, 1 Al 3.16
Sm 0.8878 0.1122 0.2500  4 Os 2.97, 1 Al 3.16
Al 0.3395 0.6605 0.7500  2 Os 2.56
Al 0.6605 0.3395 0.2500  2 Os 2.56
Os 0.5000 0.5000 0.0000  2 Os 2.50, 2 Al 2.56
Os 0.5000 0.5000 0.5000  2 Os 2.50, 2 Al 2.56

---

Crystalline SmTaAlOs2 at its relaxed geometry, computed with GGA-PBE.

Output
- total magnetization (μB/f.u.) = 0.00
- DFT total energy (eV/atom) = -8.903
- symmetry = I-4m2

Cell: 6.3423 6.3423 6.3423 Å, 141.58 141.58 55.46°
Closest atoms and distances in Å follow each position.
Fractional coordinates of all 5 atoms:
Sm 0.0000 0.0000 0.0000  8 Os 3.21, 4 Ta 3.50, 4 Al 3.50
Ta 0.2500 0.7500 0.5000  4 Os 2.59
Al 0.7500 0.2500 0.5000  4 Os 2.59
Os 0.3872 0.3872 0.0000  1 Os 2.53, 2 Ta 2.59, 2 Al 2.59
Os 0.6128 0.6128 0.0000  1 Os 2.53, 2 Ta 2.59, 2 Al 2.59

---

Crystalline TbSmAlOs at its relaxed geometry, computed with GGA-PBE.

Output
- total magnetization (μB/f.u.) = 0.00
- DFT total energy (eV/atom) = -6.268
- symmetry = F-43m

Cell: 5.0100 5.0100 5.0100 Å, 60.00 60.00 60.00°
Closest atoms and distances in Å follow each position.
Fractional coordinates of all 4 atoms:
Tb 0.0000 0.0000 0.0000  4 Os 3.07, 4 Al 3.07
Sm 0.5000 0.5000 0.5000  4 Os 3.07, 4 Al 3.07
Al 0.2500 0.2500 0.2500  4 Tb 3.07, 4 Sm 3.07
Os 0.7500 0.7500 0.7500  4 Tb 3.07, 4 Sm 3.07

---

Crystalline SmTmAlOs at its relaxed geometry, computed with GGA-PBE.

Output
- total magnetization (μB/f.u.) = 0.00
- DFT total energy (eV/atom) = -6.266
- symmetry = F-43m

Cell: 4.9637 4.9637 4.9637 Å, 60.00 60.00 60.00°
Closest atoms and distances in Å follow each position.
Fractional coordinates of all 4 atoms:
Sm 0.0000 0.0000 0.0000  4 Al 3.04, 4 Os 3.04
Tm 0.5000 0.5000 0.5000  4 Os 3.04, 4 Al 3.04
Al 0.2500 0.2500 0.2500  4 Tm 3.04, 4 Sm 3.04
Os 0.7500 0.7500 0.7500  4 Sm 3.04, 4 Tm 3.04

---

Crystalline SmYAlOs at its relaxed geometry, computed with GGA-PBE.

Output
- total magnetization (μB/f.u.) = 0.00
- DFT total energy (eV/atom) = -6.736
- symmetry = F-43m

Cell: 5.0033 5.0033 5.0033 Å, 60.00 60.00 60.00°
Closest atoms and distances in Å follow each position.
Fractional coordinates of all 4 atoms:
Sm 0.0000 0.0000 0.0000  4 Os 3.06, 4 Al 3.06
Y 0.5000 0.5000 0.5000  4 Os 3.06, 4 Al 3.06
Al 0.2500 0.2500 0.2500  4 Sm 3.06, 4 Y 3.06
Os 0.7500 0.7500 0.7500  4 Sm 3.06, 4 Y 3.06

---

Crystalline AlSnOs at its relaxed geometry, computed with GGA-PBE.

Output
- total magnetization (μB/f.u.) = 0.00
- DFT total energy (eV/atom) = -6.301
- symmetry = I4/mmm

Cell: 13.8485 13.8485 13.8485 Å, 168.00 168.00 17.01°
Closest atoms and distances in Å follow each position.
Fractional coordinates of all 6 atoms:
Al 0.1565 0.1565 0.0000  4 Os 2.66, 4 Al 2.90
Al 0.8435 0.8435 0.0000  4 Os 2.66, 4 Al 2.90
Sn 0.4371 0.4371 0.0000  4 Sn 2.90
Sn 0.5629 0.5629 0.0000  4 Sn 2.90
Os 0.2813 0.2813 0.0000  4 Al 2.66, 8 Os 2.67-2.90
Os 0.7187 0.7187 0.0000  4 Al 2.66, 8 Os 2.67-2.90

---

Crystalline Al2SnOs2 at its relaxed geometry, computed with GGA-PBE.

Output
- total magnetization (μB/f.u.) = 0.00
- DFT total energy (eV/atom) = -6.835
- symmetry = P4/mbm

Cell: 7.2274 7.2274 3.0959 Å, 90.00 90.00 90.00°
Closest atoms and distances in Å follow each position.
Fractional coordinates of all 10 atoms:
Al 0.1389 0.3611 0.0000  6 Os 2.61-2.63, 1 Al 2.84
Al 0.3611 0.8611 0.0000  6 Os 2.61-2.63, 1 Al 2.84
Al 0.6389 0.1389 0.0000  6 Os 2.61-2.63, 1 Al 2.84
Al 0.8611 0.6389 0.0000  6 Os 2.61-2.63, 1 Al 2.84
Sn 0.0000 0.0000 0.5000  4 Os 2.73
Sn 0.5000 0.5000 0.5000  4 Os 2.73
Os 0.1552 0.6552 0.5000  6 Al 2.61-2.63, 2 Sn 2.73
Os 0.3448 0.1552 0.5000  6 Al 2.61-2.63, 2 Sn 2.73
Os 0.6552 0.8448 0.5000  6 Al 2.61-2.63, 2 Sn 2.73
Os 0.8448 0.3448 0.5000  6 Al 2.61-2.63, 2 Sn 2.73

---

Crystalline Al3SnOs at its relaxed geometry, computed with GGA-PBE.

Output
- total magnetization (μB/f.u.) = 0.00
- distance to the lowest polymorph of the same formula (eV/atom) = 0.000
- DFT total energy (eV/atom) = -5.124
- symmetry = Pm-3m

Cell: 4.7932 4.7932 4.7932 Å, 90.00 90.00 90.00°
Closest atoms and distances in Å follow each position.
Fractional coordinates of all 5 atoms:
Al 0.0000 0.0000 0.5000  2 Os 2.40
Al 0.0000 0.5000 0.0000  2 Os 2.40
Al 0.5000 0.0000 0.0000  2 Os 2.40
Sn 0.5000 0.5000 0.5000  12 Al 3.39
Os 0.0000 0.0000 0.0000  6 Al 2.40

---

Crystalline AlSn2Os at its relaxed geometry, computed with GGA-PBE.

Output
- total magnetization (μB/f.u.) = 0.00
- DFT total energy (eV/atom) = -4.928
- symmetry = I-42d

Cell: 7.4079 7.4079 7.4079 Å, 129.69 129.69 73.89°
Closest atoms and distances in Å follow each position.
Fractional coordinates of all 8 atoms:
Al 0.0000 0.0000 0.0000  4 Sn 2.78
Al 0.7500 0.2500 0.5000  4 Sn 2.78
Sn 0.1523 0.6250 0.0273  2 Os 2.58, 2 Al 2.78
Sn 0.3750 0.4023 0.5273  2 Os 2.58, 2 Al 2.78
Sn 0.5977 0.1250 0.9727  2 Os 2.58, 2 Al 2.78
Sn 0.8750 0.8477 0.4727  2 Os 2.58, 2 Al 2.78
Os 0.2500 0.7500 0.5000  4 Sn 2.58
Os 0.5000 0.5000 0.0000  4 Sn 2.58

---

Crystalline AlZnSn2Os at its relaxed geometry, computed with GGA-PBE.

Output
- total magnetization (μB/f.u.) = 1.82
- DFT total energy (eV/atom) = -3.482
- symmetry = P4/mmm

Cell: 5.2036 5.2036 4.5329 Å, 90.00 90.00 90.00°
Closest atoms and distances in Å follow each position.
Fractional coordinates of all 5 atoms:
Al 0.0000 0.0000 0.0000  2 Zn 2.27
Zn 0.0000 0.0000 0.5000  2 Al 2.27
Sn 0.0000 0.5000 0.0000  2 Al 2.60
Sn 0.5000 0.0000 0.0000  2 Al 2.60
Os 0.5000 0.5000 0.5000  8 Sn 3.45, 4 Zn 3.68

---

Crystalline SrAl2Os at its relaxed geometry, computed with GGA-PBE.

Output
- total magnetization (μB/f.u.) = 0.00
- DFT total energy (eV/atom) = -5.289
- symmetry = P4/mmm

Cell: 3.1817 3.1817 7.7777 Å, 90.00 90.00 90.00°
Closest atoms and distances in Å follow each position.
Fractional coordinates of all 4 atoms:
Sr 0.0000 0.0000 0.0000  4 Sr 3.18, 8 Al 3.39
Al 0.5000 0.5000 0.3258  4 Os 2.63, 1 Al 2.71
Al 0.5000 0.5000 0.6742  4 Os 2.63, 1 Al 2.71
Os 0.0000 0.0000 0.5000  8 Al 2.63

---

Crystalline SrAl2Os at its relaxed geometry, computed with GGA-PBE.

Output
- total magnetization (μB/f.u.) = 0.00
- DFT total energy (eV/atom) = -5.067
- symmetry = Pmm2

Cell: 3.1196 4.0448 7.0479 Å, 90.00 90.00 90.00°
Closest atoms and distances in Å follow each position.
Fractional coordinates of all 4 atoms:
Sr 0.0000 0.0000 0.0000  2 Sr 3.12, 6 Al 3.30-3.42, 2 Os 3.42
Al 0.5000 0.0000 0.4130  4 Os 2.56, 2 Al 2.75
Al 0.5000 0.5000 0.6774  2 Os 2.55, 2 Al 2.75
Os 0.0000 0.5000 0.3908  6 Al 2.55-2.56

---

Crystalline SrAl2Os at its relaxed geometry, computed with GGA-PBE.

Output
- total magnetization (μB/f.u.) = 0.00
- DFT total energy (eV/atom) = -5.132
- symmetry = Imm2

Cell: 7.4904 7.4904 7.4904 Å, 156.08 148.28 40.12°
Closest atoms and distances in Å follow each position.
Fractional coordinates of all 4 atoms:
Sr 0.0000 0.0000 0.0000  2 Sr 3.11, 2 Os 3.22, 6 Al 3.41-3.44
Al 0.3033 0.8033 0.5000  4 Os 2.57, 2 Al 2.88
Al 0.6596 0.6596 0.0000  2 Os 2.51
Os 0.7999 0.2999 0.5000  6 Al 2.51-2.57

---

Crystalline SrAl2Os at its relaxed geometry, computed with GGA-PBE.

Output
- total magnetization (μB/f.u.) = 0.00
- DFT total energy (eV/atom) = -5.343
- symmetry = R-3m

Cell: 6.1781 6.1781 6.1781 Å, 40.87 40.87 40.87°
Closest atoms and distances in Å follow each position.
Fractional coordinates of all 4 atoms:
Sr 0.0000 0.0000 0.0000  8 Al 3.34-3.40
Al 0.1970 0.1970 0.1970  3 Os 2.54, 3 Al 2.70
Al 0.8030 0.8030 0.8030  3 Os 2.54, 3 Al 2.70
Os 0.5000 0.5000 0.5000  6 Al 2.54